CsSr3I (GGA-PBE, optimized geometry); energy relative to the elements, uncorrected = -143 meV/atom; space group = Pm-3m, No. 221
1.0
-1.284 -1.111 -6.679
-0.337 -6.779 1.192
-6.763 0.549 1.208
Sr I Cs
3 1 1
Cartesian
-3.381 0.275 0.604 Sr
-0.642 -0.555 -3.340 Sr
-0.169 -3.390 0.596 Sr
0.000 0.000 0.000 I
-4.192 -3.671 -2.139 Cs


LaTm2Pb (GGA-PBE, optimized geometry); ΔH_f (0 K) = -0.19 eV/atom; space group = P4/mmm, No. 123
1.0
3.643 0.000 0.000
0.000 3.643 0.000
0.000 0.000 9.246
Tm La Pb
2 1 1
Cartesian
0.000 0.000 7.147 Tm
0.000 0.000 2.099 Tm
1.822 1.822 4.623 La
1.822 1.822 0.000 Pb


Number 1: raw total energy -1.63 eV/atom, energy relative to the lowest polymorph listed for this composition 0.0 meV/atom. Number 2: raw total energy -4.58 eV/atom, energy relative to the lowest polymorph listed for this composition 148.5 meV/atom.